1.
DFT (PBEsol) results for a geometry-optimized LiTc2Ag structure.

Values from the calculation:
**Relative energy among the computed polymorphs**: 115 meV per atom
**Fermi-level density of states**: 0.953 states/eV/atom
**SG**: I-4m2, No. 119
**Calculated volume**: 14.037 Å³ per atom
**Spin magnetization**: 0.000 μB per atom
**Calculated total energy**: -6.534 eV/atom

Cell: 4.3040 4.3040 6.0621 Å, 90.00 90.00 90.00°
Element x y z (fractional)
1 Li 0.0000 0.0000 0.0000
2 Li 0.5000 0.5000 0.5000
3 Tc 0.0000 0.0000 0.5000
4 Tc 0.0000 0.5000 0.7500
5 Tc 0.5000 0.0000 0.2500
6 Tc 0.5000 0.5000 0.0000
7 Ag 0.0000 0.5000 0.2500
8 Ag 0.5000 0.0000 0.7500

2.
DFT (PBEsol) results for a geometry-optimized LiTc2Ag structure.

Values from the calculation:
**Relative energy among the computed polymorphs**: 166 meV per atom
**Fermi-level density of states**: 0.562 states/eV/atom
**SG**: P4/mmm, No. 123
**Calculated volume**: 14.473 Å³ per atom
**Spin magnetization**: 0.000 μB per atom
**Calculated total energy**: -6.483 eV/atom

Cell: 2.5330 2.5330 9.0236 Å, 90.00 90.00 90.00°
Element x y z (fractional)
1 Li 0.0000 0.0000 0.0000
2 Tc 0.5000 0.5000 0.2453
3 Tc 0.5000 0.5000 0.7547
4 Ag 0.0000 0.0000 0.5000

3.
DFT (PBEsol) results for a geometry-optimized LiTc2Ag structure.

Values from the calculation:
**Relative energy among the computed polymorphs**: 60 meV per atom
**Fermi-level density of states**: 0.565 states/eV/atom
**SG**: Cmmm, No. 65
**Calculated volume**: 14.234 Å³ per atom
**Spin magnetization**: 0.000 μB per atom
**Calculated total energy**: -6.589 eV/atom

Cell: 4.8906 9.0468 2.5738 Å, 90.00 90.00 90.00°
Element x y z (fractional)
1 Li 0.0000 0.0000 0.0000
2 Li 0.5000 0.5000 0.0000
3 Tc 0.2500 0.2500 0.5000
4 Tc 0.2500 0.7500 0.5000
5 Tc 0.7500 0.2500 0.5000
6 Tc 0.7500 0.7500 0.5000
7 Ag 0.0000 0.5000 0.0000
8 Ag 0.5000 0.0000 0.0000

4.
DFT (PBEsol) results for a geometry-optimized Li2TcAgTe structure.

Values from the calculation:
**Formation energy without anion corrections**: 0.88 eV/atom
**Fermi-level density of states**: 0.777 states/eV/atom
**SG**: P4/mmm, No. 123
**Calculated volume**: 20.989 Å³ per atom
**Spin magnetization**: 0.616 μB per atom
**Calculated total energy**: -3.524 eV/atom

Cell: 4.4379 4.4379 5.3284 Å, 90.00 90.00 90.00°
Element x y z (fractional)
1 Li 0.0000 0.5000 0.0000
2 Li 0.5000 0.0000 0.0000
3 Tc 0.0000 0.0000 0.5000
4 Ag 0.5000 0.5000 0.0000
5 Te 0.5000 0.5000 0.5000

5.
DFT (PBEsol) results for a geometry-optimized Li2AgTe2 structure.

Values from the calculation:
**Formation energy without anion corrections**: -0.46 eV/atom
**Fermi-level density of states**: 0.203 states/eV/atom
**SG**: P4/mbm, No. 127
**Calculated volume**: 21.798 Å³ per atom
**Spin magnetization**: 0.000 μB per atom
**Calculated total energy**: -3.320 eV/atom

Cell: 8.1454 8.1454 3.2855 Å, 90.00 90.00 90.00°
Element x y z (fractional)
1 Li 0.1252 0.3748 0.0000
2 Li 0.3748 0.8748 0.0000
3 Li 0.6252 0.1252 0.0000
4 Li 0.8748 0.6252 0.0000
5 Ag 0.0000 0.0000 0.5000
6 Ag 0.5000 0.5000 0.5000
7 Te 0.1784 0.6784 0.5000
8 Te 0.3216 0.1784 0.5000
9 Te 0.6784 0.8216 0.5000
10 Te 0.8216 0.3216 0.5000

6.
DFT (PBEsol) results for a geometry-optimized LiTi3Ag structure.

Values from the calculation:
**Fermi-level density of states**: 1.575 states/eV/atom
**SG**: Pm-3m, No. 221
**Calculated volume**: 16.340 Å³ per atom
**Spin magnetization**: 0.000 μB per atom
**Calculated total energy**: -5.120 eV/atom

Cell: 4.3392 4.3392 4.3392 Å, 90.00 90.00 90.00°
Element x y z (fractional)
1 Li 0.0000 0.0000 0.0000
2 Ti 0.0000 0.0000 0.5000
3 Ti 0.0000 0.5000 0.0000
4 Ti 0.5000 0.0000 0.0000
5 Ag 0.5000 0.5000 0.5000